1.
Here is a relaxed Rb2CoCl6 crystal from Alexandria via LeMat-Bulk. Energies are from PBE-GGA.

Properties
Total moment (μB per formula unit): 1.1
Formation energy without anion corrections (eV/atom): -1.05
Volume (Å³/atom): 34.42

a b c (Å): 6.784 6.784 13.461
angles (deg): 90.00 90.00 90.00
Element x y z (fractional)
1 Cl 0.166 0.834 0.120
2 Cl 0.767 0.767 0.000
3 Cl 0.666 0.666 0.380
4 Cl 0.733 0.267 0.500
5 Cl 0.834 0.166 0.120
6 Cl 0.666 0.666 0.620
7 Cl 0.334 0.334 0.380
8 Cl 0.166 0.834 0.880
9 Cl 0.267 0.733 0.500
10 Cl 0.233 0.233 0.000
11 Cl 0.334 0.334 0.620
12 Cl 0.834 0.166 0.880
13 Co 0.000 0.000 0.000
14 Co 0.500 0.500 0.500
15 Rb 0.000 0.000 0.667
16 Rb 0.500 0.500 0.833
17 Rb 0.500 0.500 0.167
18 Rb 0.000 0.000 0.333

2.
Here is a relaxed LiBeFe crystal from Alexandria via LeMat-Bulk. Energies are from PBE-GGA.

Properties
Total moment (μB per formula unit): 2.2
Formation energy from the elements (kJ per mole of atoms): 81
Polymorph energy (0 for the lowest one) (meV/atom): 728
Volume (Å³/atom): 13.61

a b c (Å): 3.865 3.865 3.865
angles (deg): 60.00 60.00 60.00
Element x y z (fractional)
1 Fe 0.750 0.750 0.750
2 Li 0.000 0.000 0.000
3 Be 0.500 0.500 0.500

- What is the formula in the second record?
  LiBeFe

What did the first record say?
Here is a relaxed Rb2CoCl6 crystal from Alexandria via LeMat-Bulk. Energies are from PBE-GGA.

Properties
Total moment (μB per formula unit): 1.1
Formation energy without anion corrections (eV/atom): -1.05
Volume (Å³/atom): 34.42

a b c (Å): 6.784 6.784 13.461
angles (deg): 90.00 90.00 90.00
Element x y z (fractional)
1 Cl 0.166 0.834 0.120
2 Cl 0.767 0.767 0.000
3 Cl 0.666 0.666 0.380
4 Cl 0.733 0.267 0.500
5 Cl 0.834 0.166 0.120
6 Cl 0.666 0.666 0.620
7 Cl 0.334 0.334 0.380
8 Cl 0.166 0.834 0.880
9 Cl 0.267 0.733 0.500
10 Cl 0.233 0.233 0.000
11 Cl 0.334 0.334 0.620
12 Cl 0.834 0.166 0.880
13 Co 0.000 0.000 0.000
14 Co 0.500 0.500 0.500
15 Rb 0.000 0.000 0.667
16 Rb 0.500 0.500 0.833
17 Rb 0.500 0.500 0.167
18 Rb 0.000 0.000 0.333